! PBE BeFeCo, relaxed; values from VASP
&SYSTEM
  ibrav = 0, nat = 3, ntyp = 3
/
ATOMIC_SPECIES
Co 58.93 Co.upf
Be 9.01 Be.upf
Fe 55.84 Fe.upf
CELL_PARAMETERS angstrom
-3.895 -3.966 1.610
-2.327 -3.847 3.420
-1.920 1.249 0.708
ATOMIC_POSITIONS angstrom
Co -3.388 -1.844 2.183
Be -6.216 -7.801 5.024
Fe -4.760 -4.732 3.560
! energy of formation from the pure elements	-47	meV/atom
! polymorph energy (0 for the lowest one)	92	meV per atom


! PBE CsSr3Cd, relaxed; values from VASP
&SYSTEM
  ibrav = 0, nat = 5, ntyp = 3
/
ATOMIC_SPECIES
Sr 87.62 Sr.upf
Cd 112.41 Cd.upf
Cs 132.91 Cs.upf
CELL_PARAMETERS angstrom
-1.023 0.884 -6.157
2.461 -5.673 -1.224
-5.713 -2.602 0.576
ATOMIC_POSITIONS angstrom
Sr -0.512 0.442 -3.079
Sr -2.856 -1.301 0.288
Sr 1.230 -2.837 -0.612
Cd -2.138 -3.696 -3.402
Cs 0.000 0.000 0.000
! energy of formation from the pure elements	934	meV/atom
! polymorph energy (0 for the lowest one)	932	meV per atom


! PBE SrLa4Pd4, relaxed; values from VASP
&SYSTEM
  ibrav = 0, nat = 18, ntyp = 3
/
ATOMIC_SPECIES
Pd 106.42 Pd.upf
Sr 87.62 Sr.upf
La 138.91 La.upf
CELL_PARAMETERS angstrom
5.961 0.000 0.000
0.000 9.742 0.000
0.000 0.000 9.742
ATOMIC_POSITIONS angstrom
Pd 2.979 3.783 1.876
Pd 2.982 1.876 5.959
Pd 0.002 1.088 2.995
Pd 5.959 6.747 1.088
Pd 0.002 8.654 6.747
Pd 2.982 7.866 3.783
Pd 2.979 5.959 7.866
Pd 5.959 2.995 8.654
Sr 2.980 4.871 4.871
Sr 0.000 0.000 0.000
La 2.982 8.677 6.621
La 5.959 5.936 7.992
La 2.982 1.065 3.121
La 0.002 7.992 3.806
La 5.959 3.806 1.750
La 0.002 1.750 5.936
La 2.979 3.121 8.677
La 2.979 6.621 1.065
! energy of formation from the pure elements	-662	meV/atom


! PBE LaCoP, relaxed; values from VASP
&SYSTEM
  ibrav = 0, nat = 3, ntyp = 3
/
ATOMIC_SPECIES
La 138.91 La.upf
Co 58.93 Co.upf
P 30.97 P.upf
CELL_PARAMETERS angstrom
-2.108 -3.966 3.734
-1.668 -5.498 1.053
2.501 -1.410 1.217
ATOMIC_POSITIONS angstrom
La 0.399 -4.107 2.413
Co 2.218 -1.773 1.378
P -1.391 -6.404 3.431
! energy of formation from the pure elements	-405	meV/atom


! PBE CuReOs2, relaxed; values from VASP
&SYSTEM
  ibrav = 0, nat = 4, ntyp = 3
/
ATOMIC_SPECIES
Os 190.23 Os.upf
Cu 63.55 Cu.upf
Re 186.21 Re.upf
CELL_PARAMETERS angstrom
8.930 0.001 0.000
8.511 2.703 0.000
8.511 1.319 2.359
ATOMIC_POSITIONS angstrom
Os 12.984 2.013 1.181
Os 25.945 4.022 2.359
Cu 19.465 3.017 1.770
Re 6.488 1.006 0.590
! energy of formation from the pure elements	180	meV/atom
! polymorph energy (0 for the lowest one)	0	meV per atom


! PBE PuCrSi, relaxed; values from VASP
&SYSTEM
  ibrav = 0, nat = 6, ntyp = 3
/
ATOMIC_SPECIES
Si 28.09 Si.upf
Pu 244.00 Pu.upf
Cr 52.00 Cr.upf
CELL_PARAMETERS angstrom
-4.902 1.774 -1.672
-3.431 -3.145 -2.242
-4.365 -1.336 2.418
ATOMIC_POSITIONS angstrom
Si -4.634 0.219 0.373
Si -4.166 -0.685 -1.957
Pu -5.528 -2.670 -0.072
Pu -7.170 -0.036 -1.424
Cr -2.451 0.887 -0.836
Cr 0.000 0.000 0.000
! ΔE_f (raw)	-0.225	eV per atom


no.,calculated total energy (eV per formula unit),total moment (μB/f.u.),theoretical density (kg/m³)
1,-19.436,3.479,6809
2,-2.144,0.003,3369
3,-48.117,0.000,6275
4,-18.657,0.000,7223
5,-38.282,0.000,18385
6,-30.053,2.768,10836